[1]
A relaxed TbYHg2Au4 crystal. Source: OQMD via LeMat-Bulk, functional PBE-GGA.

Cell and atoms, written as POSCAR:
```
TbYHg2Au4
1.0
4.937 0.000 0.000
0.000 4.937 0.000
0.000 0.000 6.982
Au Hg Tb Y
4 2 1 1
Direct
0.500 0.000 0.250
0.000 0.500 0.250
0.500 0.000 0.750
0.000 0.500 0.750
0.500 0.500 0.000
0.000 0.000 0.500
0.000 0.000 0.000
0.500 0.500 0.500
```

Calculated values
- total magnetic moment (μB/atom) = 0.000
- electronic total energy (eV/atom) = -3.70
- energy of formation from the pure elements (eV/atom) = -0.60

=====

[2]
A relaxed NaAu crystal. Source: OQMD via LeMat-Bulk, functional PBE-GGA.

Cell and atoms, written as POSCAR:
```
NaAu
1.0
0.000 3.317 3.317
3.317 0.000 3.317
3.317 3.317 0.000
Au Na
1 1
Direct
0.000 0.000 0.000
0.250 0.250 0.250
```

Calculated values
- electronic total energy (eV/atom) = -2.29

=====

[3]
A relaxed Rb4NiGeSe6 crystal. Source: OQMD via LeMat-Bulk, functional PBE-GGA.

Cell and atoms, written as POSCAR:
```
Rb4NiGeSe6
1.0
7.030 0.000 0.000
3.441 7.000 0.000
3.404 1.523 8.550
Ge Ni Rb Se
1 1 4 6
Direct
0.877 0.556 0.685
0.119 0.447 0.322
0.589 0.694 0.127
0.821 0.052 0.320
0.180 0.948 0.678
0.412 0.303 0.875
0.117 0.667 0.098
0.301 0.140 0.272
0.765 0.491 0.494
0.240 0.510 0.499
0.690 0.878 0.724
0.890 0.314 0.908
```

Calculated values
- total magnetic moment (μB/atom) = 0.167
- electronic total energy (eV/atom) = -3.64

=====

[4]
A relaxed YLu2Mg crystal. Source: OQMD via LeMat-Bulk, functional PBE-GGA.

Cell and atoms, written as POSCAR:
```
YLu2Mg
1.0
2.716 1.568 4.435
-2.716 1.568 4.435
0.000 -3.136 4.435
Lu Mg Y
2 1 1
Direct
0.500 0.500 0.500
0.750 0.750 0.750
0.250 0.250 0.250
0.000 0.000 0.000
```

Calculated values
- total magnetic moment (μB/atom) = 0.002
- electronic total energy (eV/atom) = -4.22

=====

[5]
A relaxed TbHgPd crystal. Source: OQMD via LeMat-Bulk, functional PBE-GGA.

Cell and atoms, written as POSCAR:
```
TbHgPd
1.0
0.000 3.333 3.333
3.333 0.000 3.333
3.333 3.333 0.000
Hg Pd Tb
1 1 1
Direct
0.500 0.500 0.500
0.250 0.250 0.250
0.000 0.000 0.000
```

Calculated values
- total magnetic moment (μB/atom) = 0.000
- electronic total energy (eV/atom) = -3.96
- energy of formation from the pure elements (eV/atom) = -0.60

=====

[6]
A relaxed NdHfZn2Ga2 crystal. Source: OQMD via LeMat-Bulk, functional PBE-GGA.

Cell and atoms, written as POSCAR:
```
NdHfZn2Ga2
1.0
-1.372 4.030 -0.933
0.754 -2.844 -3.215
-6.709 -2.199 0.371
Ga Hf Nd Zn
2 1 1 2
Direct
0.667 0.333 0.217
0.333 0.667 0.783
0.000 0.000 0.000
0.000 0.000 0.500
0.333 0.667 0.209
0.667 0.333 0.791
```

Calculated values
- total magnetic moment (μB/atom) = 0.000
- electronic total energy (eV/atom) = -4.35

=====

[7]
A relaxed Sm3In3AgAu2 crystal. Source: OQMD via LeMat-Bulk, functional PBE-GGA.

Cell and atoms, written as POSCAR:
```
Sm3In3AgAu2
1.0
7.891 0.000 0.000
-3.946 6.834 0.000
0.000 0.000 4.042
Ag Au In Sm
1 2 3 3
Direct
0.000 0.000 0.000
0.667 0.333 0.500
0.333 0.667 0.500
0.257 0.000 0.500
0.000 0.257 0.500
0.743 0.743 0.500
0.590 0.000 0.000
0.410 0.410 0.000
0.000 0.590 0.000
```

Calculated values
- total magnetic moment (μB/atom) = 0.002
- electronic total energy (eV/atom) = -4.18

=====

[8]
A relaxed HfZnCoHg crystal. Source: OQMD via LeMat-Bulk, functional PBE-GGA.

Cell and atoms, written as POSCAR:
```
HfZnCoHg
1.0
0.000 3.223 3.223
3.223 0.000 3.223
3.223 3.223 0.000
Co Hf Hg Zn
1 1 1 1
Direct
0.750 0.750 0.750
0.500 0.500 0.500
0.250 0.250 0.250
0.000 0.000 0.000
```

Calculated values
- total magnetic moment (μB/atom) = 0.260
- electronic total energy (eV/atom) = -4.60
- energy of formation from the pure elements (eV/atom) = 0.06
- polymorph energy (0 for the lowest one) (meV/atom) = 0

=====

[9]
A relaxed AgPbNO crystal. Source: OQMD via LeMat-Bulk, functional PBE-GGA.

Cell and atoms, written as POSCAR:
```
AgPbNO
1.0
-3.318 0.116 2.422
-1.847 -2.779 -2.398
3.295 -6.345 4.817
Ag N O Pb
2 2 2 2
Direct
0.000 0.000 0.500
0.500 0.500 0.500
0.500 0.000 0.432
0.000 0.500 0.568
0.000 0.000 0.000
0.500 0.500 0.000
0.000 0.500 0.135
0.500 0.000 0.865
```

Calculated values
- electronic total energy (eV/atom) = -4.62
- polymorph energy (0 for the lowest one) (meV/atom) = 63

=====

[10]
A relaxed LaBAu crystal. Source: OQMD via LeMat-Bulk, functional PBE-GGA.

Cell and atoms, written as POSCAR:
```
LaBAu
1.0
-3.560 -3.166 -0.185
-3.391 0.028 3.351
-4.414 1.437 -1.087
Au B La
1 1 1
Direct
0.250 0.250 0.250
0.750 0.750 0.750
0.000 0.000 0.000
```

Calculated values
- total magnetic moment (μB/atom) = 0.023
- electronic total energy (eV/atom) = -4.31
- polymorph energy (0 for the lowest one) (meV/atom) = 224

=====

[11]
A relaxed HfNb2Ga2 crystal. Source: OQMD via LeMat-Bulk, functional PBE-GGA.

Cell and atoms, written as POSCAR:
```
HfNb2Ga2
1.0
-1.941 1.941 6.084
1.941 -1.941 6.084
1.941 1.941 -6.084
Ga Hf Nb
2 1 2
Direct
0.404 0.404 0.000
0.596 0.596 0.000
0.000 0.000 0.000
0.750 0.250 0.500
0.250 0.750 0.500
```

Calculated values
- total magnetic moment (μB/atom) = 0.000
- electronic total energy (eV/atom) = -7.50

=====

[12]
A relaxed ErTm2Al3Ge2Au crystal. Source: OQMD via LeMat-Bulk, functional PBE-GGA.

Cell and atoms, written as POSCAR:
```
ErTm2Al3Ge2Au
1.0
4.235 0.000 0.000
0.000 6.062 3.494
0.000 -6.062 3.494
Al Au Er Ge Tm
3 1 1 2 2
Direct
0.500 0.239 0.239
0.500 0.000 0.761
0.500 0.761 0.000
0.000 0.002 0.002
0.000 0.586 0.586
0.500 0.667 0.332
0.500 0.332 0.667
0.000 0.000 0.414
0.000 0.414 0.000
```

Calculated values
- total magnetic moment (μB/atom) = 0.001
- electronic total energy (eV/atom) = -4.84

=====

[13]
A relaxed TaPPbO crystal. Source: OQMD via LeMat-Bulk, functional PBE-GGA.

Cell and atoms, written as POSCAR:
```
TaPPbO
1.0
-1.368 1.245 2.831
-0.974 -6.396 2.343
6.591 0.141 3.123
O P Pb Ta
2 2 2 2
Direct
0.000 0.944 0.256
0.000 0.056 0.756
0.500 0.328 0.443
0.500 0.672 0.943
0.500 0.300 0.061
0.500 0.700 0.561
0.000 0.075 0.494
0.000 0.925 0.994
```

Calculated values
- total magnetic moment (μB/atom) = 0.000
- electronic total energy (eV/atom) = -7.39
- polymorph energy (0 for the lowest one) (meV/atom) = 0

=====

[14]
A relaxed ErAlGaNi crystal. Source: OQMD via LeMat-Bulk, functional PBE-GGA.

Cell and atoms, written as POSCAR:
```
ErAlGaNi
1.0
5.024 -2.034 0.000
5.024 2.034 0.000
-0.074 0.000 6.770
Al Er Ga Ni
2 2 2 2
Direct
0.347 0.347 0.055
0.653 0.653 0.945
0.066 0.066 0.254
0.934 0.934 0.746
0.354 0.354 0.447
0.646 0.646 0.553
0.786 0.786 0.252
0.214 0.214 0.748
```

Calculated values
- total magnetic moment (μB/atom) = 0.001
- electronic total energy (eV/atom) = -4.88
- polymorph energy (0 for the lowest one) (meV/atom) = 0

=====

[15]
A relaxed SrSnPt crystal. Source: OQMD via LeMat-Bulk, functional PBE-GGA.

Cell and atoms, written as POSCAR:
```
SrSnPt
1.0
0.000 3.467 3.467
3.467 0.000 3.467
3.467 3.467 0.000
Pt Sn Sr
1 1 1
Direct
0.000 0.000 0.000
0.250 0.250 0.250
0.750 0.750 0.750
```

Calculated values
- total magnetic moment (μB/atom) = 0.001
- electronic total energy (eV/atom) = -4.52

=====

[16]
A relaxed ErTm6Hg crystal. Source: OQMD via LeMat-Bulk, functional PBE-GGA.

Cell and atoms, written as POSCAR:
```
ErTm6Hg
1.0
6.946 0.000 0.000
-3.473 6.016 0.000
0.000 0.000 5.471
Er Hg Tm
1 1 6
Direct
0.000 0.000 0.000
0.333 0.667 0.500
0.003 0.502 0.000
0.498 0.502 0.000
0.498 0.997 0.000
0.326 0.163 0.500
0.837 0.163 0.500
0.837 0.674 0.500
```

Calculated values
- total magnetic moment (μB/atom) = 0.113
- electronic total energy (eV/atom) = -4.00
- energy of formation from the pure elements (eV/atom) = -0.03

=====

[17]
A relaxed Ba2HfMgS6 crystal. Source: OQMD via LeMat-Bulk, functional PBE-GGA.

Cell and atoms, written as POSCAR:
```
Ba2HfMgS6
1.0
6.102 -3.523 0.000
6.102 3.523 0.000
-4.068 0.000 5.753
Ba Hf Mg S
2 1 1 6
Direct
0.750 0.750 0.250
0.250 0.250 0.750
0.000 0.000 0.000
0.500 0.500 0.500
0.250 0.250 0.250
0.750 0.250 0.250
0.250 0.750 0.250
0.750 0.250 0.750
0.250 0.750 0.750
0.750 0.750 0.750
```

Calculated values
- total magnetic moment (μB/atom) = 0.003
- electronic total energy (eV/atom) = -5.48

=====

[18]
A relaxed LuGaPt crystal. Source: OQMD via LeMat-Bulk, functional PBE-GGA.

Cell and atoms, written as POSCAR:
```
LuGaPt
1.0
-5.722 -2.694 -2.211
-0.669 -1.820 3.949
-3.793 6.229 2.228
Lu Pt Ga
4 4 4
Direct
0.990 0.250 0.796
0.010 0.750 0.204
0.510 0.750 0.296
0.490 0.250 0.704
0.726 0.250 0.092
0.226 0.250 0.408
0.774 0.750 0.592
0.274 0.750 0.908
0.318 0.250 0.079
0.818 0.250 0.421
0.182 0.750 0.579
0.682 0.750 0.921
```

Calculated values
- total magnetic moment (μB/atom) = 0.000
- electronic total energy (eV/atom) = -5.65

=====

[19]
A relaxed NpInOs crystal. Source: OQMD via LeMat-Bulk, functional PBE-GGA.

Cell and atoms, written as POSCAR:
```
NpInOs
1.0
0.000 3.251 3.251
3.251 0.000 3.251
3.251 3.251 0.000
In Np Os
1 1 1
Direct
0.250 0.250 0.250
0.750 0.750 0.750
0.000 0.000 0.000
```

Calculated values
- total magnetic moment (μB/atom) = 1.177
- electronic total energy (eV/atom) = -8.62

=====

[20]
A relaxed Y3Er2Tm2Te2Pd2 crystal. Source: OQMD via LeMat-Bulk, functional PBE-GGA.

Cell and atoms, written as POSCAR:
```
Y3Er2Tm2Te2Pd2
1.0
-0.432 -9.334 -0.811
-5.725 4.268 6.082
2.772 -3.099 -8.408
Er Pd Te Tm Y
2 2 2 2 3
Direct
0.263 0.893 0.371
0.522 0.893 0.629
0.671 0.410 0.261
0.149 0.410 0.739
0.242 0.242 0.000
0.639 0.139 0.500
0.284 0.101 0.183
0.919 0.101 0.817
0.884 0.740 0.144
0.979 0.479 0.500
0.596 0.740 0.856
```

Calculated values
- total magnetic moment (μB/atom) = 0.001
- electronic total energy (eV/atom) = -5.79

=====

[21]
A relaxed As2PtO crystal. Source: OQMD via LeMat-Bulk, functional PBE-GGA.

Cell and atoms, written as POSCAR:
```
As2PtO
1.0
-0.841 -2.406 -2.945
3.326 -1.929 0.625
-4.234 -5.462 5.671
As O Pt
4 2 2
Direct
0.000 0.500 0.101
0.500 0.000 0.317
0.000 0.500 0.683
0.500 0.000 0.899
0.000 0.000 0.000
0.500 0.500 0.000
0.000 0.000 0.500
0.500 0.500 0.500
```

Calculated values
- total magnetic moment (μB/atom) = 0.001
- electronic total energy (eV/atom) = -5.29

=====

[22]
A relaxed HgSe crystal. Source: OQMD via LeMat-Bulk, functional PBE-GGA.

Cell and atoms, written as POSCAR:
```
HgSe
1.0
2.998 0.000 0.000
-1.499 2.590 0.000
0.000 0.000 5.780
Hg Se
1 1
Direct
0.667 0.333 0.750
0.333 0.667 0.250
```

Calculated values
- electronic total energy (eV/atom) = -1.52

=====

[23]
A relaxed LaPrAl4 crystal. Source: OQMD via LeMat-Bulk, functional PBE-GGA.

Cell and atoms, written as POSCAR:
```
LaPrAl4
1.0
8.841 0.000 0.000
0.000 4.415 0.000
0.000 0.000 7.537
Al La Pr
8 2 2
Direct
0.000 0.000 0.000
0.500 0.000 0.000
0.250 0.500 0.010
0.506 0.500 0.261
0.994 0.500 0.261
0.006 0.500 0.739
0.494 0.500 0.739
0.750 0.500 0.990
0.250 0.000 0.305
0.750 0.000 0.695
0.750 0.000 0.275
0.250 0.000 0.725
```

Calculated values
- total magnetic moment (μB/atom) = 0.001
- electronic total energy (eV/atom) = -4.29